First-principles (meta-GGA SCAN) data for a PBEsol-optimized structure of SiHgSCl2, as listed in Alexandria via LeMat-Bulk.

Summary:
- Symmetry: No. 123
- Formation energy (no corrections): 11.66 kcal/mol of atoms

Structure (POSCAR):
```
SiHgSCl2
1.0
5.010 0.000 0.000
0.000 5.010 0.000
0.000 0.000 5.028
Si Hg S Cl
1 1 1 2
Cartesian
0.000 0.000 0.000
2.505 2.505 2.514
2.505 2.505 0.000
0.000 2.505 2.514
2.505 0.000 2.514
```

First-principles (meta-GGA SCAN) data for a PBEsol-optimized structure of TlHgS2Cl, as listed in Alexandria via LeMat-Bulk.

Summary:
- Symmetry: No. 123
- Formation energy (no corrections): 2.33 kcal/mol of atoms

Structure (POSCAR):
```
TlHgS2Cl
1.0
4.916 0.000 0.000
0.000 4.916 0.000
0.000 0.000 5.362
Tl Hg S Cl
1 1 2 1
Cartesian
0.000 0.000 0.000
2.458 2.458 2.681
0.000 2.458 2.681
2.458 0.000 2.681
2.458 2.458 0.000
```

First-principles (meta-GGA SCAN) data for a PBEsol-optimized structure of HgWSCl2, as listed in Alexandria via LeMat-Bulk.

Summary:
- Symmetry: No. 123
- Formation energy (no corrections): 29.01 kcal/mol of atoms

Structure (POSCAR):
```
HgWSCl2
1.0
4.945 0.000 0.000
0.000 4.945 0.000
0.000 0.000 5.092
Hg W S Cl
1 1 1 2
Cartesian
0.000 0.000 0.000
2.472 2.472 2.546
0.000 0.000 2.546
0.000 2.472 0.000
2.472 0.000 0.000
```

First-principles (meta-GGA SCAN) data for a PBEsol-optimized structure of HgSbCl2, as listed in Alexandria via LeMat-Bulk.

Summary:
- Symmetry: No. 119
- Formation energy (no corrections): -0.67 kcal/mol of atoms

Structure (POSCAR):
```
HgSbCl2
1.0
4.356 0.000 0.000
0.000 4.356 0.000
0.000 0.000 9.442
Hg Sb Cl
2 2 4
Cartesian
0.000 0.000 0.000
2.178 2.178 4.721
0.000 2.178 2.361
2.178 0.000 7.082
0.000 0.000 4.721
0.000 2.178 7.082
2.178 0.000 2.361
2.178 2.178 0.000
```

no.,DFT total energy (eV/atom)
1,-20.247
2,-33.451
3,-31.430
4,-30.374